First-principles (GGA+U) data for a relaxed LiTiMnO4 crystal, as listed in Alexandria.

It has space group P4_322 (No. 95), with a = 6.3069 Å, b = 6.3069 Å, c = 7.2042 Å, α = 90.00°, β = 90.00° and γ = 90.00°. Symmetry generates all atoms from Li at (0.0000, 0.2204, 0.0000), Ti at (0.2166, 0.5000, 0.2500), Mn at (0.2583, 0.2583, 0.6250), O at (0.0338, 0.2697, 0.2884) and O at (0.2654, 0.4580, 0.9830).

The total energy is -7.5573 eV per atom. The density is 4.0 g cm⁻³.